{"formula": "Na4Ca7MnSi12H4O36", "functional": "PBE+U", "state": "relaxed", "dos_at_fermi_per_ev_fu": 0.00, "dft_energy_ev_per_atom": -7.097, "cell": [[7.0725, 0.0000, 0.0000], [-1.7311, 7.8524, 0.0000], [-0.1633, -1.3009, 14.0971]], "species": ["Na", "Na", "Na", "Na", "Ca", "Ca", "Ca", "Ca", "Ca", "Ca", "Ca", "Mn", "Si", "Si", "Si", "Si", "Si", "Si", "Si", "Si", "Si", "Si", "Si", "Si", "H", "H", "H", "H", "O", "O", "O", "O", "O", "O", "O", "O", "O", "O", "O", "O", "O", "O", "O", "O", "O", "O", "O", "O", "O", "O", "O", "O", "O", "O", "O", "O", "O", "O", "O", "O", "O", "O", "O", "O"], "fractional_positions": [[0.0000, 0.0000, 0.0000], [0.0021, 0.0009, 0.4997], [0.5004, 0.1054, 0.3411], [0.5075, 0.1053, 0.8429], [0.1714, 0.7052, 0.6010], [0.1732, 0.7044, 0.1026], [0.3388, 0.4006, 0.7421], [0.6608, 0.6985, 0.1020], [0.6614, 0.7000, 0.5991], [0.8479, 0.4063, 0.7438], [0.8528, 0.4038, 0.2435], [0.3404, 0.3989, 0.2430], [0.2077, 0.7661, 0.8449], [0.2142, 0.7601, 0.3445], [0.3015, 0.3384, 0.0009], [0.3024, 0.3411, 0.4949], [0.5157, 0.1048, 0.1016], [0.5192, 0.1031, 0.5979], [0.6567, 0.7712, 0.8399], [0.6610, 0.7723, 0.3392], [0.8531, 0.3342, 0.5032], [0.8529, 0.3350, 0.0055], [0.9908, 0.0035, 0.7440], [0.9976, 0.0034, 0.2434], [0.6101, 0.3877, 0.9079], [0.6124, 0.3884, 0.4033], [0.8963, 0.7171, 0.9381], [0.9013, 0.7171, 0.4367], [0.0429, 0.2069, 0.7355], [0.0580, 0.2080, 0.2364], [0.0632, 0.2898, 0.9798], [0.0635, 0.2898, 0.4769], [0.1004, 0.7300, 0.9437], [0.1034, 0.7258, 0.4424], [0.1502, 0.6120, 0.7604], [0.1629, 0.6026, 0.2611], [0.1650, 0.9486, 0.8094], [0.1673, 0.9400, 0.3072], [0.3449, 0.1533, 0.0316], [0.3490, 0.1591, 0.5299], [0.3594, 0.4885, 0.0877], [0.3614, 0.4940, 0.5800], [0.4061, 0.3770, 0.3947], [0.4092, 0.3792, 0.9023], [0.4461, 0.8162, 0.8653], [0.4515, 0.8180, 0.3660], [0.4660, 0.9000, 0.6072], [0.4678, 0.9021, 0.1124], [0.5394, 0.2308, 0.1999], [0.5482, 0.2232, 0.6980], [0.6423, 0.6162, 0.7577], [0.6439, 0.6148, 0.2583], [0.7226, 0.1551, 0.0415], [0.7237, 0.1519, 0.5364], [0.7519, 0.7384, 0.9420], [0.7547, 0.3641, 0.9034], [0.7555, 0.3654, 0.4012], [0.7580, 0.7410, 0.4412], [0.7890, 0.9534, 0.8076], [0.7935, 0.9547, 0.3060], [0.8675, 0.4895, 0.5852], [0.8692, 0.4919, 0.0867], [0.9601, 0.8834, 0.6441], [0.9621, 0.8837, 0.1434]]}